CuReS2Cl: optimized geometry, PBE.

Properties
E_tot: -4.879 eV per atom
space group: P4/mmm, No. 123
E above lowest polymorph: 0.00 eV per formula unit
ΔE_f (raw): 0.450 eV per atom
volume: 105.9 Å³ per cell

Unit cell a=4.5267 b=4.5267 c=5.1676 alpha=90.00 beta=90.00 gamma=90.00
Closest atoms and distances in Å follow each position.
Element x y z (fractional)
1 Cu 0.0000 0.0000 0.0000  4 Cl 3.20, 8 S 3.43
2 Re 0.5000 0.5000 0.5000  4 S 2.26
3 S 0.0000 0.5000 0.5000  2 Re 2.26
4 S 0.5000 0.0000 0.5000  2 Re 2.26
5 Cl 0.5000 0.5000 0.0000  2 Re 2.58

***

CuReSCl2: optimized geometry, PBE.

Properties
E_tot: -3.953 eV per atom
space group: P4/mmm, No. 123
E above lowest polymorph: 2.33 eV per formula unit
ΔE_f (raw): 0.920 eV per atom
volume: 101.9 Å³ per cell

Unit cell a=4.4887 b=4.4887 c=5.0597 alpha=90.00 beta=90.00 gamma=90.00
Closest atoms and distances in Å follow each position.
Element x y z (fractional)
1 Cu 0.0000 0.0000 0.0000  4 Cl 2.24
2 Re 0.5000 0.5000 0.5000  4 S 3.17, 8 Cl 3.38
3 S 0.0000 0.0000 0.5000  2 Cu 2.53
4 Cl 0.0000 0.5000 0.0000  2 Cu 2.24
5 Cl 0.5000 0.0000 0.0000  2 Cu 2.24

***

CuReS2Cl: optimized geometry, PBE.

Properties
E_tot: -4.206 eV per atom
space group: P4/mmm, No. 123
E above lowest polymorph: 3.36 eV per formula unit
ΔE_f (raw): 1.123 eV per atom
volume: 94.9 Å³ per cell

Unit cell a=4.6508 b=4.6508 c=4.3861 alpha=90.00 beta=90.00 gamma=90.00
Closest atoms and distances in Å follow each position.
Element x y z (fractional)
1 Cu 0.0000 0.0000 0.0000  2 Cl 2.19, 4 S 2.33
2 Re 0.5000 0.5000 0.5000  8 S 3.20, 4 Cl 3.29
3 S 0.0000 0.5000 0.0000  2 Cu 2.33
4 S 0.5000 0.0000 0.0000  2 Cu 2.33
5 Cl 0.0000 0.0000 0.5000  2 Cu 2.19

***

Zn2CuReCl: optimized geometry, PBE.

Properties
E_tot: -2.788 eV per atom
space group: P4/mmm, No. 123
ΔE_f (raw): 1.400 eV per atom
volume: 92.3 Å³ per cell

Unit cell a=4.7427 b=4.7427 c=4.1034 alpha=90.00 beta=90.00 gamma=90.00
Closest atoms and distances in Å follow each position.
Element x y z (fractional)
1 Zn 0.0000 0.5000 0.0000  2 Cl 2.37
2 Zn 0.5000 0.0000 0.0000  2 Cl 2.37
3 Cu 0.0000 0.0000 0.5000  2 Cl 2.05
4 Re 0.5000 0.5000 0.5000  8 Zn 3.14, 4 Cu 3.35
5 Cl 0.0000 0.0000 0.0000  2 Cu 2.05

***

Cu2Rh2Cl7: optimized geometry, PBE.

Properties
E_tot: -3.654 eV per atom
space group: C2/c, No. 15
ΔE_f (raw): -0.398 eV per atom
volume: 574.7 Å³ per cell

Unit cell a=7.0438 b=7.0438 c=12.9658 alpha=99.78 beta=99.78 gamma=65.82
Closest atoms and distances in Å follow each position.
Element x y z (fractional)
1 Cu 0.0243 0.2938 0.3068  3 Cl 2.19-2.32
2 Cu 0.2938 0.0243 0.8068  3 Cl 2.19-2.32
3 Cu 0.7062 0.9757 0.1932  3 Cl 2.19-2.32
4 Cu 0.9757 0.7062 0.6932  3 Cl 2.19-2.32
5 Rh 0.0074 0.2476 0.5073  5 Cl 2.35-2.44
6 Rh 0.2476 0.0074 0.0073  5 Cl 2.35-2.44
7 Rh 0.7524 0.9926 0.9927  5 Cl 2.35-2.44
8 Rh 0.9926 0.7524 0.4927  5 Cl 2.35-2.44
9 Cl 0.1026 0.7814 0.0440  2 Rh 2.35-2.36
10 Cl 0.1771 0.2571 0.6877  1 Cu 2.25, 1 Rh 2.44
11 Cl 0.2182 0.3960 0.4512  1 Cu 2.32, 2 Rh 2.38-2.39
12 Cl 0.2186 0.8974 0.4560  2 Rh 2.35-2.36
13 Cl 0.2571 0.1771 0.1877  1 Cu 2.25, 1 Rh 2.44
14 Cl 0.2828 0.7172 0.7500  2 Cu 2.19
15 Cl 0.3960 0.2182 0.9512  1 Cu 2.32, 2 Rh 2.38-2.39
16 Cl 0.6040 0.7818 0.0488  1 Cu 2.32, 2 Rh 2.38-2.39
17 Cl 0.7172 0.2828 0.2500  2 Cu 2.19
18 Cl 0.7429 0.8229 0.8123  1 Cu 2.25, 1 Rh 2.44
19 Cl 0.7814 0.1026 0.5440  2 Rh 2.35-2.36
20 Cl 0.7818 0.6040 0.5488  1 Cu 2.32, 2 Rh 2.38-2.39
21 Cl 0.8229 0.7429 0.3123  1 Cu 2.25, 1 Rh 2.44
22 Cl 0.8974 0.2186 0.9560  2 Rh 2.35-2.36

***

Cu2RhCl: optimized geometry, PBE.

Properties
E_tot: -3.871 eV per atom
space group: I4/mmm, No. 139
E above lowest polymorph: 1.31 eV per formula unit
ΔE_f (raw): 0.476 eV per atom
volume: 57.4 Å³ per cell

Unit cell a=5.0168 b=5.0168 c=5.0168 alpha=137.28 beta=137.28 gamma=62.01
Closest atoms and distances in Å follow each position.
Element x y z (fractional)
1 Cu 0.2500 0.7500 0.5000  4 Cu 2.58, 4 Cl 2.82, 4 Rh 2.82
2 Cu 0.7500 0.2500 0.5000  4 Cu 2.58, 4 Cl 2.82, 4 Rh 2.82
3 Rh 0.0000 0.0000 0.0000  4 Cl 2.58, 8 Cu 2.82
4 Cl 0.5000 0.5000 0.0000  4 Rh 2.58, 8 Cu 2.82

***

Cu2RhCl: optimized geometry, PBE.

Properties
E_tot: -4.194 eV per atom
space group: Pmm2, No. 25
E above lowest polymorph: 0.02 eV per formula unit
ΔE_f (raw): 0.154 eV per atom
volume: 62.1 Å³ per cell

Unit cell a=3.0025 b=3.1544 c=6.5543 alpha=90.00 beta=90.00 gamma=90.00
Closest atoms and distances in Å follow each position.
Element x y z (fractional)
1 Cu 0.0000 0.0000 0.0000  2 Cl 2.44, 4 Cu 2.53, 1 Rh 2.64
2 Cu 0.5000 0.5000 0.1979  4 Cu 2.53, 4 Rh 2.56
3 Rh 0.0000 0.0000 0.4035  2 Cl 2.49, 5 Cu 2.56-2.64
4 Cl 0.5000 0.0000 0.7059  2 Cu 2.44, 2 Rh 2.49

***

CuRhCl: optimized geometry, PBE.

Properties
E_tot: -4.151 eV per atom
space group: Amm2, No. 38
E above lowest polymorph: 0.05 eV per formula unit
ΔE_f (raw): 0.281 eV per atom
volume: 93.9 Å³ per cell

Unit cell a=10.9520 b=3.1895 c=3.1895 alpha=57.48 beta=90.00 gamma=90.00
Closest atoms and distances in Å follow each position.
Element x y z (fractional)
1 Cu 0.0000 0.0000 0.0000  6 Rh 2.53
2 Cu 0.5000 0.0422 0.0422  6 Cl 2.41-2.54
3 Rh 0.1605 0.3242 0.3242  3 Cu 2.53, 2 Cl 2.58
4 Rh 0.8395 0.3242 0.3242  3 Cu 2.53, 2 Cl 2.58
5 Cl 0.3442 0.7379 0.7379  3 Cu 2.41-2.54, 2 Rh 2.58
6 Cl 0.6558 0.7379 0.7379  3 Cu 2.41-2.54, 2 Rh 2.58

***

Cu2RhCl: optimized geometry, PBE.

Properties
E_tot: -3.754 eV per atom
space group: Fm-3m, No. 225
E above lowest polymorph: 1.78 eV per formula unit
ΔE_f (raw): 0.594 eV per atom
volume: 58.7 Å³ per cell

Unit cell a=4.3611 b=4.3611 c=4.3611 alpha=60.00 beta=60.00 gamma=60.00
Closest atoms and distances in Å follow each position.
Element x y z (fractional)
1 Cu 0.2500 0.2500 0.2500  4 Cl 2.67, 4 Rh 2.67
2 Cu 0.7500 0.7500 0.7500  4 Cl 2.67, 4 Rh 2.67
3 Rh 0.0000 0.0000 0.0000  8 Cu 2.67
4 Cl 0.5000 0.5000 0.5000  8 Cu 2.67

***

Cu3RhCl: optimized geometry, PBE.

Properties
E_tot: -3.338 eV per atom
space group: Pm-3m, No. 221
E above lowest polymorph: 0.29 eV per formula unit
ΔE_f (raw): 0.960 eV per atom
volume: 103.5 Å³ per cell

Unit cell a=4.6953 b=4.6953 c=4.6953 alpha=90.00 beta=90.00 gamma=90.00
Closest atoms and distances in Å follow each position.
Element x y z (fractional)
1 Cu 0.0000 0.0000 0.5000  2 Rh 2.35
2 Cu 0.0000 0.5000 0.0000  2 Rh 2.35
3 Cu 0.5000 0.0000 0.0000  2 Rh 2.35
4 Rh 0.0000 0.0000 0.0000  6 Cu 2.35
5 Cl 0.5000 0.5000 0.5000  12 Cu 3.32

***

Cu2RhCl: optimized geometry, PBE.

Properties
E_tot: -4.104 eV per atom
space group: P4/mmm, No. 123
E above lowest polymorph: 0.38 eV per formula unit
ΔE_f (raw): 0.243 eV per atom
volume: 59.2 Å³ per cell

Unit cell a=2.9475 b=2.9475 c=6.8149 alpha=90.00 beta=90.00 gamma=90.00
Closest atoms and distances in Å follow each position.
Element x y z (fractional)
1 Cu 0.0000 0.0000 0.2361  4 Rh 2.63, 4 Cl 2.75, 4 Cu 2.95
2 Cu 0.0000 0.0000 0.7639  4 Rh 2.63, 4 Cl 2.75, 4 Cu 2.95
3 Rh 0.5000 0.5000 0.0000  8 Cu 2.63, 4 Rh 2.95
4 Cl 0.5000 0.5000 0.5000  8 Cu 2.75, 4 Cl 2.95

***

CuRhCl6: optimized geometry, PBE.

Properties
E_tot: -3.192 eV per atom
space group: P-1, No. 2
E above lowest polymorph: 0.52 eV per formula unit
ΔE_f (raw): -0.376 eV per atom
volume: 169.1 Å³ per cell

Unit cell a=6.0078 b=6.0101 c=6.4181 alpha=62.12 beta=89.98 gamma=60.04
Closest atoms and distances in Å follow each position.
Element x y z (fractional)
1 Cu 0.0000 0.0000 0.0000  6 Cl 2.43-2.44
2 Rh 0.5000 0.0000 0.5000  6 Cl 2.35
3 Cl 0.0985 0.1600 0.2512  1 Rh 2.35, 1 Cu 2.43
4 Cl 0.2582 0.1531 0.7488  1 Rh 2.35, 1 Cu 2.43
5 Cl 0.4119 0.4895 0.2517  1 Rh 2.35, 1 Cu 2.44
6 Cl 0.5881 0.5105 0.7483  1 Rh 2.35, 1 Cu 2.44
7 Cl 0.7418 0.8469 0.2512  1 Rh 2.35, 1 Cu 2.43
8 Cl 0.9015 0.8400 0.7488  1 Rh 2.35, 1 Cu 2.43

***

Cu2RhCl8: optimized geometry, PBE.

Properties
E_tot: -3.149 eV per atom
space group: C2/m, No. 12
E above lowest polymorph: 0.10 eV per formula unit
ΔE_f (raw): -0.393 eV per atom
volume: 294.7 Å³ per cell

Unit cell a=7.3875 b=7.3875 c=5.9290 alpha=99.90 beta=99.90 gamma=68.64
Closest atoms and distances in Å follow each position.
Element x y z (fractional)
1 Cu 0.1877 0.1877 0.1650  4 Cl 2.14-2.30
2 Cu 0.8123 0.8123 0.8350  4 Cl 2.14-2.30
3 Rh 0.0000 0.0000 0.5000  6 Cl 2.35-2.36
4 Cl 0.1143 0.7306 0.7120  1 Cu 2.30, 1 Rh 2.35
5 Cl 0.1711 0.1711 0.7726  1 Cu 2.29, 1 Rh 2.36
6 Cl 0.2694 0.8857 0.2880  1 Cu 2.30, 1 Rh 2.35
7 Cl 0.3668 0.3668 0.2587  1 Cu 2.14
8 Cl 0.6332 0.6332 0.7413  1 Cu 2.14
9 Cl 0.7306 0.1143 0.7120  1 Cu 2.30, 1 Rh 2.35
10 Cl 0.8289 0.8289 0.2274  1 Cu 2.29, 1 Rh 2.36
11 Cl 0.8857 0.2694 0.2880  1 Cu 2.30, 1 Rh 2.35